A relaxed structure of Ho8NiTe4Se3, computed with GGA-PBE.

CIF file:
```
data_Ho8NiTe4Se3
_chemical_formula_sum 'Ho24 Ni3 Te12 Se9'
_cell_length_a 8.3483
_cell_length_b 8.3483
_cell_length_c 20.9942
_cell_angle_alpha 90.00
_cell_angle_beta 90.00
_cell_angle_gamma 120.00
_symmetry_space_group_name_H-M 'R -3 m'
_symmetry_Int_Tables_number 166
_symmetry_space_group_name_Hall '-R 3 2"'
loop_
_atom_site_label
_atom_site_type_symbol
_atom_site_fract_x
_atom_site_fract_y
_atom_site_fract_z
Ho1 Ho 0.0000 0.0000 0.2413
Ho2 Ho 0.0260 0.5130 0.2373
Ni1 Ni 0.0000 0.0000 0.5000
Te1 Te 0.0000 0.0000 0.0000
Te2 Te 0.0000 0.5000 0.0000
Se1 Se 0.0000 0.5000 0.5000
```

---

# HoSiNi3 | Alexandria via LeMat-Bulk | GGA-PBE | optimized geometry
# Distance to the lowest polymorph of the same formula: 0.0 meV per atom
data_HoSiNi3
_chemical_formula_sum 'Ho4 Si4 Ni12'
_cell_length_a 4.9124
_cell_length_b 8.1049
_cell_length_c 7.7007
_cell_angle_alpha 90.00
_cell_angle_beta 90.00
_cell_angle_gamma 90.00
_symmetry_space_group_name_H-M 'I m m a'
_symmetry_Int_Tables_number 74
_symmetry_space_group_name_Hall '-I 2b 2'
loop_
_atom_site_label
_atom_site_type_symbol
_atom_site_fract_x
_atom_site_fract_y
_atom_site_fract_z
Ho1 Ho 0.0000 0.2500 0.0396
Si1 Si 0.0000 0.0000 0.5000
Ni1 Ni 0.0000 0.2500 0.6549
Ni2 Ni 0.2500 0.0098 0.7500

---

A relaxed structure of HoSi2Ni2, computed with GGA-PBE.

CIF file:
```
data_HoSi2Ni2
_chemical_formula_sum 'Ho2 Si4 Ni4'
_cell_length_a 3.9597
_cell_length_b 3.9597
_cell_length_c 9.5099
_cell_angle_alpha 90.00
_cell_angle_beta 90.00
_cell_angle_gamma 90.00
_symmetry_space_group_name_H-M 'I 4/m m m'
_symmetry_Int_Tables_number 139
_symmetry_space_group_name_Hall '-I 4 2'
loop_
_atom_site_label
_atom_site_type_symbol
_atom_site_fract_x
_atom_site_fract_y
_atom_site_fract_z
Ho1 Ho 0.0000 0.0000 0.0000
Si1 Si 0.0000 0.0000 0.3735
Ni1 Ni 0.0000 0.5000 0.2500
```

---

A relaxed structure of HoSi2Ni2, computed with GGA-PBE.

CIF file:
```
data_HoSi2Ni2
_chemical_formula_sum 'Ho1 Si2 Ni2'
_cell_length_a 3.9006
_cell_length_b 3.9006
_cell_length_c 4.9226
_cell_angle_alpha 90.00
_cell_angle_beta 90.00
_cell_angle_gamma 90.00
_symmetry_space_group_name_H-M 'P 4/m m m'
_symmetry_Int_Tables_number 123
_symmetry_space_group_name_Hall '-P 4 2'
loop_
_atom_site_label
_atom_site_type_symbol
_atom_site_fract_x
_atom_site_fract_y
_atom_site_fract_z
Ho1 Ho 0.0000 0.0000 0.0000
Si1 Si 0.5000 0.5000 0.2400
Ni1 Ni 0.0000 0.5000 0.5000
```

---

Number 1: VASP energy -5.459 eV/atom, volume 422.4 Å³/f.u., M_tot 0.000 μB per formula unit. Number 2: VASP energy -5.995 eV/atom, volume 76.6 Å³/f.u., M_tot 0.000 μB per formula unit. Number 3: VASP energy -6.254 eV/atom, volume 74.6 Å³/f.u., M_tot 0.000 μB per formula unit. Number 4: VASP energy -6.185 eV/atom, volume 74.9 Å³/f.u., M_tot 0.001 μB per formula unit.